A plane-wave DFT calculation with PBE was carried out for a relaxed Be2IrOs crystal.

Cell: 7.4754 7.4754 7.4754 Å, 21.03 21.03 21.03°
Atoms (fractional coordinates):
1 Be 0.9988 0.9988 0.9988
2 Be 0.5012 0.5012 0.5012
3 Ir 0.2500 0.2500 0.2500
4 Os 0.7500 0.7500 0.7500

## Properties
VASP energy = -7.026 eV/atom
Space group = No. 166

A plane-wave DFT calculation with PBE was carried out for a relaxed Be2IrOs crystal.

Cell: 3.9877 3.9877 2.7741 Å, 90.00 90.00 90.00°
Atoms (fractional coordinates):
1 Be 0.0000 0.0000 0.0000
2 Be 0.5000 0.5000 0.0000
3 Ir 0.5000 0.0000 0.5000
4 Os 0.0000 0.5000 0.5000

## Properties
VASP energy = -7.177 eV/atom
Space group = No. 123

A plane-wave DFT calculation with PBE was carried out for a relaxed Be2IrOs crystal.

Cell: 2.6673 2.6673 7.3807 Å, 90.00 90.00 115.48°
Atoms (fractional coordinates):
1 Be 0.0000 0.0000 0.0011
2 Be 0.0000 0.0000 0.4989
3 Ir 0.5000 0.5000 0.2500
4 Os 0.5000 0.5000 0.7500

## Properties
VASP energy = -6.982 eV/atom
Space group = No. 65

A plane-wave DFT calculation with PBE was carried out for a relaxed Be2IrOs crystal.

Cell: 2.7896 2.7896 5.7099 Å, 90.00 90.00 90.00°
Atoms (fractional coordinates):
1 Be 0.0000 0.0000 0.0313
2 Be 0.5000 0.5000 0.2204
3 Ir 0.0000 0.0000 0.4586
4 Os 0.5000 0.5000 0.7897

## Properties
VASP energy = -7.176 eV/atom
Space group = No. 99

A plane-wave DFT calculation with PBE was carried out for a relaxed BeIrOs2 crystal.

Cell: 4.5969 4.5969 4.6111 Å, 80.33 80.33 34.34°
Atoms (fractional coordinates):
1 Be 0.4971 0.4971 0.5232
2 Ir 0.7477 0.7477 0.7113
3 Os 0.0022 0.0022 0.0360
4 Os 0.2531 0.2531 0.2295

## Properties
VASP energy = -8.683 eV/atom
Space group = No. 8

A plane-wave DFT calculation with PBE was carried out for a relaxed BeIrOs2 crystal.

Cell: 4.6106 4.6106 4.5514 Å, 81.51 81.51 34.33°
Atoms (fractional coordinates):
1 Be 0.2500 0.2500 0.2500
2 Ir 0.7500 0.7500 0.7500
3 Os 0.0048 0.0048 0.0087
4 Os 0.4952 0.4952 0.4913

## Properties
VASP energy = -8.672 eV/atom
Space group = No. 12

A plane-wave DFT calculation with PBE was carried out for a relaxed Be2IrOs crystal.

Cell: 5.9959 5.9959 5.0133 Å, 53.27 53.27 90.00°
Atoms (fractional coordinates):
1 Be 0.6289 0.1250 0.2500
2 Be 0.1211 0.6250 0.2500
3 Be 0.3750 0.3711 0.7500
4 Be 0.8750 0.8789 0.7500
5 Ir 0.0000 0.0000 0.0000
6 Ir 0.7500 0.2500 0.5000
7 Os 0.5000 0.5000 0.0000
8 Os 0.2500 0.7500 0.5000

## Properties
VASP energy = -6.576 eV/atom
Space group = No. 122

A plane-wave DFT calculation with PBE was carried out for a relaxed BeIrOs2 crystal.

Cell: 4.6824 4.6824 2.7090 Å, 90.00 90.00 114.02°
Atoms (fractional coordinates):
1 Be 0.5000 0.0000 0.5000
2 Ir 0.0000 0.5000 0.5000
3 Os 0.0000 0.0000 0.0000
4 Os 0.5000 0.5000 0.0000

## Properties
VASP energy = -8.526 eV/atom
Space group = No. 65